The following is a PBE with a Hubbard U calculation of crystalline K2MnI2F2 at its relaxed geometry, from the Alexandria database.

Unit cell a=4.590 b=4.590 c=18.113 alpha=90.00 beta=90.00 gamma=90.00
Space group I4/mmm (No. 139)
One atom of each set of equivalent atoms:
1 K 0.000 0.000 0.104
2 Mn 0.000 0.000 0.500
3 I 0.000 0.000 0.340
4 F 0.000 0.500 0.000

Results
**E**: -4.268 eV per atom
**V**: 191 Å³/f.u.
**Density of states at the Fermi level**: 0.0 states/eV/cell